This record from Alexandria describes a relaxed structure of LaCoP2S. The functional is PBE-GGA.

Its uncorrected formation energy is -0.62 eV per atom. The value obtained for the raw total energy is -30.09 eV/cell. Its space group is No. 123. For the excess energy over the best structure of this formula in the dataset, the calculation gives 0.0000 eV per atom.

Lattice parameters (Å, degrees): 4.3106 4.3106 5.0266 90.00 90.00 90.00
Positions (direct):
La: 0.0000 0.0000 0.0000
Co: 0.5000 0.5000 0.5000
P: 0.0000 0.5000 0.5000
P: 0.5000 0.0000 0.5000
S: 0.5000 0.5000 0.0000



This record from Alexandria describes a relaxed structure of LaCoPS2. The functional is PBE-GGA.

Its uncorrected formation energy is 0.75 eV per atom. The value obtained for the raw total energy is -21.94 eV/cell. Its space group is No. 123. For the excess energy over the best structure of this formula in the dataset, the calculation gives 1.5620 eV per atom.

Lattice parameters (Å, degrees): 5.4431 5.4431 5.5513 90.00 90.00 90.00
Positions (direct):
La: 0.0000 0.0000 0.0000
Co: 0.5000 0.5000 0.5000
P: 0.0000 0.0000 0.5000
S: 0.0000 0.5000 0.0000
S: 0.5000 0.0000 0.0000



This record from Alexandria describes a relaxed structure of LaZn2Co2P. The functional is PBE-GGA.

The value obtained for the raw total energy is -29.50 eV/cell. Its space group is No. 123. The value obtained for the formation energy from the elements is -400 meV/atom.

Lattice parameters (Å, degrees): 4.2365 4.2365 5.7347 90.00 90.00 90.00
Positions (direct):
La: 0.0000 0.0000 0.0000
Zn: 0.5000 0.5000 0.2386
Zn: 0.5000 0.5000 0.7614
Co: 0.0000 0.5000 0.5000
Co: 0.5000 0.0000 0.5000
P: 0.0000 0.0000 0.5000



This record from Alexandria describes a relaxed structure of LaPa2Co9. The functional is PBE-GGA.

The value obtained for the raw total energy is -90.26 eV/cell. Its space group is No. 166. The value obtained for the formation energy from the elements is -199 meV/atom.

Lattice parameters (Å, degrees): 8.6766 8.6766 8.6766 32.88 32.88 32.88
Positions (direct):
La: 0.0000 0.0000 0.0000
Pa: 0.1373 0.1373 0.1373
Pa: 0.8627 0.8627 0.8627
Co: 0.0830 0.5838 0.5838
Co: 0.3331 0.3331 0.3331
Co: 0.4162 0.4162 0.9170
Co: 0.4162 0.9170 0.4162
Co: 0.5000 0.5000 0.5000
Co: 0.5838 0.0830 0.5838
Co: 0.5838 0.5838 0.0830
Co: 0.6669 0.6669 0.6669
Co: 0.9170 0.4162 0.4162



This record from Alexandria describes a relaxed structure of LaPaCo10. The functional is PBE-GGA.

The value obtained for the raw total energy is -86.79 eV/cell. Its space group is No. 47. The value obtained for the formation energy from the elements is -109 meV/atom.

Lattice parameters (Å, degrees): 4.0272 4.8952 8.5507 90.00 90.00 90.00
Positions (direct):
La: 0.0000 0.0000 0.0000
Pa: 0.0000 0.5000 0.5000
Co: 0.0000 0.0000 0.3444
Co: 0.0000 0.0000 0.6556
Co: 0.0000 0.5000 0.1976
Co: 0.0000 0.5000 0.8024
Co: 0.5000 0.0000 0.5000
Co: 0.5000 0.2503 0.2545
Co: 0.5000 0.2503 0.7455
Co: 0.5000 0.5000 0.0000
Co: 0.5000 0.7497 0.2545
Co: 0.5000 0.7497 0.7455



This record from Alexandria describes a relaxed structure of La2PaCo9. The functional is PBE-GGA.

The value obtained for the raw total energy is -84.51 eV/cell. Its space group is No. 166. The value obtained for the formation energy from the elements is -101 meV/atom.

Lattice parameters (Å, degrees): 9.0356 9.0356 9.0356 31.49 31.49 31.49
Positions (direct):
La: 0.1390 0.1390 0.1390
La: 0.8610 0.8610 0.8610
Pa: 0.0000 0.0000 0.0000
Co: 0.0799 0.5760 0.5760
Co: 0.3324 0.3324 0.3324
Co: 0.4240 0.4240 0.9201
Co: 0.4240 0.9201 0.4240
Co: 0.5000 0.5000 0.5000
Co: 0.5760 0.0799 0.5760
Co: 0.5760 0.5760 0.0799
Co: 0.6676 0.6676 0.6676
Co: 0.9201 0.4240 0.4240